# LaAg2Au2 | Alexandria | meta-GGA SCAN | PBEsol geometry
# E_tot ... -493.933 eV per cell
# DOS at the Fermi energy ... 0.36 states/eV/atom
# ρ ... 11.729 g/cm3
# Polymorph energy (0 for the lowest one) ... 0.000 eV/f.u.
data_LaAg2Au2
_space_group_name_H-M_alt 'I 4/m m m'
_space_group_IT_number 139
_space_group_name_Hall '-I 4 2'
_cell_length_a 4.006
_cell_length_b 4.006
_cell_length_c 13.206
_cell_angle_alpha 90.00
_cell_angle_beta 90.00
_cell_angle_gamma 90.00
loop_
_atom_site_label
_atom_site_fract_x
_atom_site_fract_y
_atom_site_fract_z
_atom_site_occupancy
La1 0.000 0.000 0.000 1
Ag1 0.000 0.500 0.250 1
Au1 0.000 0.000 0.397 1


# NdIO | Alexandria | meta-GGA SCAN | PBEsol geometry
# E_tot ... -190.839 eV per cell
# Formation energy (no corrections) ... -2.95 eV/atom
# DOS at the Fermi energy ... 0.00 states/eV/atom
# ρ ... 6.306 g/cm3
data_NdIO
_space_group_name_H-M_alt 'P 4/n m m'
_space_group_IT_number 129
_cell_length_a 4.035
_cell_length_b 4.035
_cell_length_c 9.289
_cell_angle_alpha 90.00
_cell_angle_beta 90.00
_cell_angle_gamma 90.00
loop_
_space_group_symop_operation_xyz
'x,y,z'
'-x,-y,-z'
'-y+1/2,x,z'
'y+1/2,-x,-z'
'-x+1/2,-y+1/2,z'
'x+1/2,y+1/2,-z'
'y,-x+1/2,z'
'-y,x+1/2,-z'
'x+1/2,-y,-z'
'-x+1/2,y,z'
'-y,-x,-z'
'y,x,z'
'-x,y+1/2,-z'
'x,-y+1/2,z'
'y+1/2,x+1/2,-z'
'-y+1/2,-x+1/2,z'
loop_
_atom_site_label
_atom_site_fract_x
_atom_site_fract_y
_atom_site_fract_z
_atom_site_occupancy
Nd1 0.250 0.250 0.125 1
I1 0.250 0.250 0.674 1
O1 0.250 0.750 0.000 1


# LaCd5 | Alexandria | meta-GGA SCAN | PBEsol geometry
# E_tot ... -393.029 eV per cell
# DOS at the Fermi energy ... 0.41 states/eV/atom
# ρ ... 8.244 g/cm3
data_LaCd5
_space_group_name_H-M_alt 'C m m m'
_space_group_IT_number 65
_space_group_name_Hall '-C 2 2'
_cell_length_a 4.744
_cell_length_b 12.329
_cell_length_c 4.828
_cell_angle_alpha 90.00
_cell_angle_beta 90.00
_cell_angle_gamma 90.00
loop_
_atom_site_label
_atom_site_fract_x
_atom_site_fract_y
_atom_site_fract_z
_atom_site_occupancy
La1 0.000 0.000 0.000 1
Cd1 0.000 0.173 0.500 1
Cd2 0.000 0.320 0.000 1
Cd3 0.000 0.500 0.500 1


Which of these has the lowest ρ?
NdIO


Look up the ρ of the second one.
6.306 g/cm3


Which of these has the highest DOS at the Fermi energy?
LaCd5